Entry 1:
First-principles (PBE-GGA) data for a geometry-optimized YScPO2 structure, as listed in Alexandria.

Output
* ΔE_f (raw): -1.419 eV/atom
* DFT total energy: -7.043 eV/atom

The structure in POSCAR format:
```
YScPO2
1.0
4.188 0.000 0.000
0.000 4.188 0.000
0.000 0.000 5.576
Y Sc P O
1 1 1 2
direct
0.000 0.000 0.000
0.500 0.500 0.500
0.000 0.000 0.500
0.000 0.500 0.000
0.500 0.000 0.000
```

Entry 2:
First-principles (PBE-GGA) data for a geometry-optimized YScP2O8 structure, as listed in Alexandria.

Output
* ΔE_f (raw): -2.845 eV/atom
* DFT total energy: -8.118 eV/atom

The structure in POSCAR format:
```
YScP2O8
1.0
5.182 0.000 0.000
-2.591 4.488 0.000
0.000 0.000 6.669
Y Sc P O
1 1 2 8
direct
0.000 0.000 0.000
0.000 0.000 0.500
0.333 0.667 0.208
0.667 0.333 0.792
0.170 0.340 0.287
0.170 0.830 0.287
0.333 0.667 0.980
0.340 0.170 0.713
0.660 0.830 0.287
0.667 0.333 0.020
0.830 0.170 0.713
0.830 0.660 0.713
```

Entry 3:
First-principles (PBE-GGA) data for a geometry-optimized Y2ScPO structure, as listed in Alexandria.

Output
* ΔE_f (raw): -1.061 eV/atom
* DFT total energy: -6.987 eV/atom

The structure in POSCAR format:
```
Y2ScPO
1.0
4.362 0.000 0.000
0.000 4.362 0.000
0.000 0.000 5.977
Y Sc P O
2 1 1 1
direct
0.000 0.500 0.000
0.500 0.000 0.000
0.000 0.000 0.500
0.500 0.500 0.500
0.500 0.500 0.000
```

Entry 4:
First-principles (PBE-GGA) data for a geometry-optimized YScP2O structure, as listed in Alexandria.

Output
* ΔE_f (raw): -1.065 eV/atom
* DFT total energy: -6.780 eV/atom

The structure in POSCAR format:
```
YScP2O
1.0
5.047 0.000 0.000
0.000 5.047 0.000
0.000 0.000 3.916
Y Sc P O
1 1 2 1
direct
0.000 0.000 0.000
0.500 0.500 0.500
0.000 0.500 0.500
0.500 0.000 0.500
0.500 0.500 0.000
```

Entry 5:
First-principles (PBE-GGA) data for a geometry-optimized YScP2O structure, as listed in Alexandria.

Output
* ΔE_f (raw): 0.396 eV/atom
* DFT total energy: -5.318 eV/atom

The structure in POSCAR format:
```
YScP2O
1.0
4.584 0.000 0.000
0.000 4.584 0.000
0.000 0.000 6.249
Y Sc P O
1 1 2 1
direct
0.000 0.000 0.000
0.000 0.000 0.500
0.000 0.500 0.500
0.500 0.000 0.500
0.500 0.500 0.000
```

Entry 6:
First-principles (PBE-GGA) data for a geometry-optimized YScPO2 structure, as listed in Alexandria.

Output
* ΔE_f (raw): -1.931 eV/atom
* DFT total energy: -7.555 eV/atom

The structure in POSCAR format:
```
YScPO2
1.0
4.056 0.000 0.000
0.000 4.056 0.000
0.000 0.000 5.151
Y Sc P O
1 1 1 2
direct
0.000 0.000 0.000
0.500 0.500 0.500
0.500 0.500 0.000
0.000 0.500 0.500
0.500 0.000 0.500
```

Entry 7:
First-principles (PBE-GGA) data for a geometry-optimized YScP2O structure, as listed in Alexandria.

Output
* ΔE_f (raw): -0.519 eV/atom
* DFT total energy: -6.234 eV/atom

The structure in POSCAR format:
```
YScP2O
1.0
5.242 0.000 0.000
0.000 5.242 0.000
0.000 0.000 4.143
Y Sc P O
1 1 2 1
direct
0.000 0.000 0.000
0.500 0.500 0.500
0.000 0.500 0.000
0.500 0.000 0.000
0.000 0.000 0.500
```

Entry 8:
First-principles (PBE-GGA) data for a geometry-optimized ZrScPO2 structure, as listed in Alexandria.

Output
* ΔE_f (raw): -1.611 eV/atom
* DFT total energy: -7.652 eV/atom

The structure in POSCAR format:
```
ZrScPO2
1.0
3.940 0.000 0.000
0.000 3.940 0.000
0.000 0.000 5.148
Zr Sc P O
1 1 1 2
direct
0.000 0.000 0.000
0.500 0.500 0.500
0.500 0.500 0.000
0.000 0.500 0.500
0.500 0.000 0.500
```